First-principles (PBE) data for a geometry-optimized CdW3Cl structure, as listed in Alexandria via LeMat-Bulk.

Cell lengths 4.9717, 4.9717, 4.9717 Å; angles 90.00, 90.00, 90.00 degrees
Closest atoms and distances in Å follow each position.
Atoms (fractional coordinates):
Cl  0.5000  0.5000  0.5000  12 W 3.52
W  0.0000  0.5000  0.0000  2 Cd 2.49
W  0.0000  0.0000  0.5000  2 Cd 2.49
W  0.5000  0.0000  0.0000  2 Cd 2.49
Cd  0.0000  0.0000  0.0000  6 W 2.49

total moment: 2.90 μB per cell
ΔE_f (raw): 3391 meV per atom

***

First-principles (PBE) data for a geometry-optimized Cd4WCl structure, as listed in Alexandria via LeMat-Bulk.

Cell lengths 5.6759, 5.6759, 5.6759 Å; angles 60.00, 60.00, 60.00 degrees
Closest atoms and distances in Å follow each position.
Atoms (fractional coordinates):
Cd  0.8775  0.3742  0.3742  6 Cd 2.82-2.86
Cd  0.3742  0.3742  0.8775  6 Cd 2.82-2.86
Cd  0.3742  0.8775  0.3742  6 Cd 2.82-2.86
Cd  0.3742  0.3742  0.3742  6 Cd 2.82-2.86
W  0.0000  0.0000  0.0000  12 Cd 3.33, 4 Cl 3.48
Cl  0.7500  0.7500  0.7500  12 Cd 3.33, 4 W 3.48

total moment: 0.97 μB per cell
ΔE_f (raw): 798 meV per atom

***

First-principles (PBE) data for a geometry-optimized CdW3Cl structure, as listed in Alexandria via LeMat-Bulk.

Cell lengths 4.4453, 4.4453, 4.4453 Å; angles 90.00, 90.00, 90.00 degrees
Closest atoms and distances in Å follow each position.
Atoms (fractional coordinates):
Cl  0.0000  0.0000  0.0000  6 W 2.22
W  0.0000  0.5000  0.0000  2 Cl 2.22
W  0.0000  0.0000  0.5000  2 Cl 2.22
W  0.5000  0.0000  0.0000  2 Cl 2.22
Cd  0.5000  0.5000  0.5000  12 W 3.14

total moment: 0.00 μB per cell
ΔE_f (raw): 1492 meV per atom

***

First-principles (PBE) data for a geometry-optimized CdWCl4 structure, as listed in Alexandria via LeMat-Bulk.

Cell lengths 5.8120, 5.8120, 5.8120 Å; angles 60.00, 60.00, 60.00 degrees
Closest atoms and distances in Å follow each position.
Atoms (fractional coordinates):
Cd  0.0000  0.0000  0.0000  12 Cl 3.41, 4 W 3.56
W  0.7500  0.7500  0.7500  12 Cl 3.41, 4 Cd 3.56
Cl  0.8737  0.3754  0.3754  6 Cl 2.90-2.92
Cl  0.3754  0.3754  0.8737  6 Cl 2.90-2.92
Cl  0.3754  0.8737  0.3754  6 Cl 2.90-2.92
Cl  0.3754  0.3754  0.3754  6 Cl 2.90-2.92

total moment: 2.05 μB per cell
ΔE_f (raw): 1185 meV per atom

***

First-principles (PBE) data for a geometry-optimized CdWCl3 structure, as listed in Alexandria via LeMat-Bulk.

Cell lengths 4.9673, 4.9673, 4.9673 Å; angles 90.00, 90.00, 90.00 degrees
Closest atoms and distances in Å follow each position.
Atoms (fractional coordinates):
Cl  0.0000  0.5000  0.0000  2 W 2.48
Cl  0.0000  0.0000  0.5000  2 W 2.48
Cl  0.5000  0.0000  0.0000  2 W 2.48
W  0.0000  0.0000  0.0000  6 Cl 2.48
Cd  0.5000  0.5000  0.5000  12 Cl 3.51

total moment: 2.55 μB per cell
ΔE_f (raw): -1 meV per atom

***

First-principles (PBE) data for a geometry-optimized YCdCl structure, as listed in Alexandria via LeMat-Bulk.

Cell lengths 3.6416, 3.6416, 7.7552 Å; angles 90.00, 90.00, 120.00 degrees
Closest atoms and distances in Å follow each position.
Atoms (fractional coordinates):
Cd  0.0000  0.0000  0.9472  3 Y 3.16
Cl  0.6667  0.3333  0.4092  3 Y 2.78
Y  0.3333  0.6667  0.6436  3 Cl 2.78

total moment: 0.00 μB per cell
ΔE_f (raw): -901 meV per atom

***

First-principles (PBE) data for a geometry-optimized YCdCl structure, as listed in Alexandria via LeMat-Bulk.

Cell lengths 4.8085, 4.8085, 4.8085 Å; angles 60.00, 60.00, 60.00 degrees
Closest atoms and distances in Å follow each position.
Atoms (fractional coordinates):
Cd  0.5000  0.5000  0.5000  4 Cl 2.94
Cl  0.7500  0.7500  0.7500  4 Cd 2.94, 4 Y 2.94
Y  0.0000  0.0000  0.0000  4 Cl 2.94

total moment: 0.00 μB per cell
ΔE_f (raw): -429 meV per atom

***

First-principles (PBE) data for a geometry-optimized YCdCl structure, as listed in Alexandria via LeMat-Bulk.

Cell lengths 4.9724, 4.9724, 4.9724 Å; angles 60.00, 60.00, 60.00 degrees
Closest atoms and distances in Å follow each position.
Atoms (fractional coordinates):
Cd  0.0000  0.0000  0.0000  4 Y 3.04
Cl  0.5000  0.5000  0.5000  4 Y 3.04
Y  0.2500  0.2500  0.2500  4 Cd 3.04, 4 Cl 3.04

total moment: 0.00 μB per cell
ΔE_f (raw): -336 meV per atom

***

First-principles (PBE) data for a geometry-optimized YCdCl6 structure, as listed in Alexandria via LeMat-Bulk.

Cell lengths 6.5869, 6.5837, 7.0846 Å; angles 62.07, 62.29, 60.01 degrees
Closest atoms and distances in Å follow each position.
Atoms (fractional coordinates):
Y  0.5000  0.5000  0.5000  6 Cl 2.66
Cd  0.0000  0.0000  0.0000  6 Cl 2.66
Cl  0.0811  0.4194  0.7491  1 Cd 2.66, 1 Y 2.66
Cl  0.7479  0.0808  0.7522  1 Y 2.66, 1 Cd 2.66
Cl  0.5820  0.2510  0.2496  1 Y 2.66, 1 Cd 2.66
Cl  0.2521  0.9192  0.2478  1 Y 2.66, 1 Cd 2.66
Cl  0.9189  0.5806  0.2509  1 Cd 2.66, 1 Y 2.66
Cl  0.4180  0.7490  0.7504  1 Y 2.66, 1 Cd 2.66

total moment: 1.13 μB per cell
ΔE_f (raw): -1371 meV per atom

***

First-principles (PBE) data for a geometry-optimized YCd3Cl structure, as listed in Alexandria via LeMat-Bulk.

Cell lengths 6.1352, 6.1352, 6.1352 Å; angles 90.00, 90.00, 90.00 degrees
Closest atoms and distances in Å follow each position.
Atoms (fractional coordinates):
Y  0.0000  0.0000  0.0000  6 Cd 3.07
Cl  0.5000  0.5000  0.5000  12 Cd 4.34
Cd  0.0000  0.5000  0.0000  2 Y 3.07
Cd  0.0000  0.0000  0.5000  2 Y 3.07
Cd  0.5000  0.0000  0.0000  2 Y 3.07

total moment: 0.00 μB per cell
ΔE_f (raw): 370 meV per atom

***

First-principles (PBE) data for a geometry-optimized YCdCl structure, as listed in Alexandria via LeMat-Bulk.

Cell lengths 4.7650, 4.7650, 4.0290 Å; angles 90.00, 90.00, 120.00 degrees
Closest atoms and distances in Å follow each position.
Atoms (fractional coordinates):
Cd  0.0000  0.0000  0.9999  6 Cl 3.41, 6 Y 3.41
Cl  0.6667  0.3333  0.5002  3 Y 2.75
Y  0.3333  0.6667  0.4999  3 Cl 2.75

total moment: 0.00 μB per cell
ΔE_f (raw): -722 meV per atom

***

First-principles (PBE) data for a geometry-optimized YCdCl structure, as listed in Alexandria via LeMat-Bulk.

Cell lengths 3.6467, 3.6460, 15.6702 Å; angles 90.00, 90.00, 120.01 degrees
Closest atoms and distances in Å follow each position.
Atoms (fractional coordinates):
Cd  0.6074  0.2148  0.0000  6 Cd 3.65
Cd  0.2782  0.5565  0.5000  6 Y 3.23-3.24
Y  0.6120  0.2239  0.3433  3 Cl 2.77
Y  0.6120  0.2239  0.6567  3 Cl 2.77
Cl  0.2785  0.5570  0.7714  3 Y 2.77
Cl  0.2785  0.5570  0.2286  3 Y 2.77

total moment: 0.88 μB per cell
ΔE_f (raw): -926 meV per atom

***

First-principles (PBE) data for a geometry-optimized YCdCl structure, as listed in Alexandria via LeMat-Bulk.

Cell lengths 7.8780, 7.8780, 7.8780 Å; angles 154.91, 154.91, 35.77 degrees
Closest atoms and distances in Å follow each position.
Atoms (fractional coordinates):
Cd  0.0355  0.0355  0.0000  4 Y 3.24, 4 Cd 3.42
Cl  0.2848  0.2848  0.0000  4 Y 2.89
Y  0.6797  0.6797  0.0000  4 Cl 2.89

total moment: 0.68 μB per cell
ΔE_f (raw): -818 meV per atom

***

First-principles (PBE) data for a geometry-optimized YCd4Cl structure, as listed in Alexandria via LeMat-Bulk.

Cell lengths 5.9817, 5.9817, 5.9817 Å; angles 60.00, 60.00, 60.00 degrees
Closest atoms and distances in Å follow each position.
Atoms (fractional coordinates):
Y  0.0000  0.0000  0.0000  12 Cd 3.51, 4 Cl 3.66
Cd  0.8765  0.3745  0.3745  6 Cd 2.98-3.00
Cd  0.3745  0.3745  0.8765  6 Cd 2.98-3.00
Cd  0.3745  0.8765  0.3745  6 Cd 2.98-3.00
Cd  0.3745  0.3745  0.3745  6 Cd 2.98-3.00
Cl  0.7500  0.7500  0.7500  12 Cd 3.51, 4 Y 3.66

total moment: 0.00 μB per cell
ΔE_f (raw): -155 meV per atom

***

First-principles (PBE) data for a geometry-optimized Y4CdCl structure, as listed in Alexandria via LeMat-Bulk.

Cell lengths 6.4627, 6.4627, 6.4627 Å; angles 60.00, 60.00, 60.00 degrees
Closest atoms and distances in Å follow each position.
Atoms (fractional coordinates):
Y  0.8697  0.3768  0.3768  6 Y 3.19-3.28
Y  0.3768  0.3768  0.8697  6 Y 3.19-3.28
Y  0.3768  0.8697  0.3768  6 Y 3.19-3.28
Y  0.3768  0.3768  0.3768  6 Y 3.19-3.28
Cd  0.7500  0.7500  0.7500  12 Y 3.78, 4 Cl 3.96
Cl  0.0000  0.0000  0.0000  12 Y 3.79, 4 Cd 3.96

total moment: 0.00 μB per cell
ΔE_f (raw): 278 meV per atom

***

First-principles (PBE) data for a geometry-optimized YCd3Cl structure, as listed in Alexandria via LeMat-Bulk.

Cell lengths 5.3447, 5.3447, 5.3447 Å; angles 90.00, 90.00, 90.00 degrees
Closest atoms and distances in Å follow each position.
Atoms (fractional coordinates):
Y  0.5000  0.5000  0.5000  12 Cd 3.78
Cl  0.0000  0.0000  0.0000  6 Cd 2.67
Cd  0.0000  0.5000  0.0000  2 Cl 2.67
Cd  0.0000  0.0000  0.5000  2 Cl 2.67
Cd  0.5000  0.0000  0.0000  2 Cl 2.67

total moment: 0.00 μB per cell
ΔE_f (raw): 258 meV per atom

***

First-principles (PBE) data for a geometry-optimized Y2Cd2Cl structure, as listed in Alexandria via LeMat-Bulk.

Cell lengths 8.9452, 8.9452, 8.9452 Å; angles 154.03, 154.03, 37.06 degrees
Closest atoms and distances in Å follow each position.
Atoms (fractional coordinates):
Y  0.6026  0.6026  0.0000  4 Cd 3.21, 4 Cl 3.33, 1 Y 3.48
Y  0.3974  0.3974  0.0000  4 Cd 3.21, 4 Cl 3.33, 1 Y 3.48
Cd  0.2500  0.7500  0.5000  4 Cd 2.84
Cd  0.7500  0.2500  0.5000  4 Cd 2.84
Cl  0.0000  0.0000  0.0000  8 Y 3.33

total moment: 1.26 μB per cell
ΔE_f (raw): -263 meV per atom

***

First-principles (PBE) data for a geometry-optimized YCdCl structure, as listed in Alexandria via LeMat-Bulk.

Cell lengths 8.2164, 7.9453, 3.4555 Å; angles 82.09, 73.30, 24.62 degrees
Closest atoms and distances in Å follow each position.
Atoms (fractional coordinates):
Cd  0.0202  0.0202  0.9798  2 Y 3.11, 4 Cd 3.46
Cl  0.3021  0.3021  0.6979  2 Y 2.73
Y  0.6777  0.6777  0.3223  2 Cl 2.73

total moment: 0.00 μB per cell
ΔE_f (raw): -779 meV per atom

***

First-principles (PBE) data for a geometry-optimized Y2Cd2Cl structure, as listed in Alexandria via LeMat-Bulk.

Cell lengths 7.3263, 7.3263, 5.0529 Å; angles 90.00, 90.00, 90.00 degrees
Closest atoms and distances in Å follow each position.
Atoms (fractional coordinates):
Y  0.3357  0.8357  0.0000  2 Cl 2.74
Y  0.8357  0.6643  0.0000  2 Cl 2.74
Y  0.6643  0.1643  0.0000  2 Cl 2.74
Y  0.1643  0.3357  0.0000  2 Cl 2.74
Cl  0.0000  0.0000  0.0000  4 Y 2.74
Cl  0.5000  0.5000  0.0000  4 Y 2.74
Cd  0.1392  0.6392  0.5000  1 Cd 2.88
Cd  0.6392  0.8608  0.5000  1 Cd 2.88
Cd  0.8608  0.3608  0.5000  1 Cd 2.88
Cd  0.3608  0.1392  0.5000  1 Cd 2.88

total moment: 0.00 μB per cell
ΔE_f (raw): -678 meV per atom

***

First-principles (PBE) data for a geometry-optimized YZrCd2Cl structure, as listed in Alexandria via LeMat-Bulk.

Cell lengths 5.5776, 4.7997, 5.5776 Å; angles 90.00, 90.00, 90.00 degrees
Closest atoms and distances in Å follow each position.
Atoms (fractional coordinates):
Y  0.5000  0.5000  0.5000  8 Cd 3.68, 4 Cl 3.94
Cl  0.0000  0.5000  0.0000  2 Zr 2.40
Zr  0.0000  0.0000  0.0000  2 Cl 2.40
Cd  0.0000  0.0000  0.5000  2 Zr 2.79
Cd  0.5000  0.0000  0.0000  2 Zr 2.79

total moment: 0.00 μB per cell
ΔE_f (raw): 110 meV per atom